Li5Hg8Bi: optimized geometry, PBE-GGA.

Output
The calculated density comes out at 9739 kg/m3. Its calculated total energy is -1.342 eV per atom. Its symmetry is I-4 (82).

a b c (Å): 7.4261 7.4261 7.4261
angles (deg): 110.05 110.05 108.32
Last column: nearest neighbours and their distance in Å.
Fractional coordinates of all 14 atoms:
Li  0.0000  0.0000  0.0000  8 Hg 2.91-2.92
Li  0.2558  0.6198  0.0845  7 Hg 2.83-2.97
Li  0.3802  0.4647  0.6360  7 Hg 2.83-2.97
Li  0.5353  0.1713  0.9155  7 Hg 2.83-2.97
Li  0.8287  0.7442  0.3640  7 Hg 2.83-2.97
Hg  0.0079  0.4048  0.2553  5 Li 2.92-3.20, 3 Hg 3.04-3.21
Hg  0.1375  0.1836  0.7512  5 Li 2.83-2.93, 2 Hg 3.04-3.05, 1 Bi 3.14
Hg  0.1494  0.7526  0.7447  5 Li 2.92-3.20, 3 Hg 3.04-3.21
Hg  0.2474  0.9921  0.3968  5 Li 2.92-3.20, 3 Hg 3.04-3.21
Hg  0.4324  0.3863  0.2488  5 Li 2.83-2.93, 2 Hg 3.04-3.05, 1 Bi 3.14
Hg  0.5952  0.8506  0.6032  5 Li 2.92-3.20, 3 Hg 3.04-3.21
Hg  0.6137  0.8625  0.0461  5 Li 2.83-2.93, 2 Hg 3.04-3.05, 1 Bi 3.14
Hg  0.8164  0.5676  0.9539  5 Li 2.83-2.93, 2 Hg 3.04-3.05, 1 Bi 3.14
Bi  0.7500  0.2500  0.5000  8 Hg 3.14-3.27



ScBe2Re: optimized geometry, PBE-GGA.

Output
The calculated density comes out at 6502 kg/m3. Its calculated total energy is -6.099 eV per atom. Its symmetry is I-42d (122).

a b c (Å): 3.9536 3.9536 16.2865
angles (deg): 90.00 90.00 90.00
Last column: nearest neighbours and their distance in Å.
Fractional coordinates of all 16 atoms:
Sc  0.0000  0.0000  0.0000  4 Re 2.80, 4 Be 2.82
Sc  0.0000  0.5000  0.2500  4 Re 2.80, 4 Be 2.82
Sc  0.5000  0.0000  0.7500  4 Re 2.80, 4 Be 2.82
Sc  0.5000  0.5000  0.5000  4 Re 2.80, 4 Be 2.82
Be  0.0743  0.2500  0.6250  2 Be 2.06, 2 Re 2.28
Be  0.2500  0.5743  0.8750  2 Be 2.06, 2 Re 2.28
Be  0.2500  0.9257  0.3750  2 Be 2.06, 2 Re 2.28
Be  0.4257  0.2500  0.1250  2 Be 2.06, 2 Re 2.28
Be  0.5743  0.7500  0.1250  2 Be 2.06, 2 Re 2.28
Be  0.7500  0.0743  0.3750  2 Be 2.06, 2 Re 2.28
Be  0.7500  0.4257  0.8750  2 Be 2.06, 2 Re 2.28
Be  0.9257  0.7500  0.6250  2 Be 2.06, 2 Re 2.28
Re  0.0000  0.0000  0.5000  4 Be 2.28
Re  0.0000  0.5000  0.7500  4 Be 2.28
Re  0.5000  0.0000  0.2500  4 Be 2.28
Re  0.5000  0.5000  0.0000  4 Be 2.28



Ca2AsPb2: optimized geometry, PBE-GGA.

Output
The calculated density comes out at 6159 kg/m3. Its calculated total energy is -3.613 eV per atom. Its symmetry is P4/mbm (127).

a b c (Å): 7.6840 7.6840 5.2011
angles (deg): 90.00 90.00 90.00
Last column: nearest neighbours and their distance in Å.
Fractional coordinates of all 10 atoms:
Ca  0.1692  0.3308  0.0000  2 As 2.86
Ca  0.3308  0.8308  0.0000  2 As 2.86
Ca  0.6692  0.1692  0.0000  2 As 2.86
Ca  0.8308  0.6692  0.0000  2 As 2.86
As  0.0000  0.0000  0.0000  4 Ca 2.86
As  0.5000  0.5000  0.0000  4 Ca 2.86
Pb  0.1438  0.6438  0.5000  1 Pb 3.13, 2 Ca 3.30
Pb  0.3562  0.1438  0.5000  1 Pb 3.13, 2 Ca 3.30
Pb  0.6438  0.8562  0.5000  1 Pb 3.13, 2 Ca 3.30
Pb  0.8562  0.3562  0.5000  1 Pb 3.13, 2 Ca 3.30



Q: Which of these has the lowest calculated density?
A: Ca2AsPb2



Q: Look up the calculated total energy of the third one.
A: -3.613 eV per atom



Q: calculated total energy of number 2 (ScBe2Re)?
A: -6.099 eV per atom